# ScTcIr2 PBE relaxed
# Relative energy among the computed polymorphs: 0.1732 eV per atom
# Size of the total moment: 0.00 μB/f.u.
# Calculated formation energy: -0.281 eV/atom
data_ScTcIr2
_space_group_name_H-M_alt 'C 1 2/m 1'
_space_group_IT_number 12
_cell_length_a 9.327
_cell_length_b 2.786
_cell_length_c 4.839
_cell_angle_alpha 90.00
_cell_angle_beta 99.37
_cell_angle_gamma 90.00
loop_
_space_group_symop_operation_xyz
'x,y,z'
'-x,-y,-z'
'-x,y,-z'
'x,-y,z'
'x+1/2,y+1/2,z'
'-x+1/2,-y+1/2,-z'
'-x+1/2,y+1/2,-z'
'x+1/2,-y+1/2,z'
loop_
_atom_site_label
_atom_site_type_symbol
_atom_site_fract_x
_atom_site_fract_y
_atom_site_fract_z
Sc1 Sc 0.000 0.000 0.000
Tc1 Tc 0.000 0.500 0.500
Ir1 Ir 0.247 0.000 0.737